Here is an optimized crystal structure of CsNb4Br7 from Alexandria. Energies are from PBE.

Properties
- DOS at the Fermi energy: 4.08 states/eV/f.u.
- Electronic total energy: -4.88 eV/atom

The structure in CIF format:
```
data_CsNb4Br7
_chemical_formula_sum 'Cs2 Nb8 Br14'
_space_group_name_H-M_alt 'P m n 21'
_space_group_IT_number 31
_cell_length_a 17.683
_cell_length_b 6.549
_cell_length_c 5.905
_cell_angle_alpha 90.00
_cell_angle_beta 90.00
_cell_angle_gamma 90.00
loop_
_space_group_symop_operation_xyz
'x,y,z'
'-x+1/2,-y,z+1/2'
'-x,y,z'
'x+1/2,-y,z+1/2'
loop_
_atom_site_label
_atom_site_type_symbol
_atom_site_fract_x
_atom_site_fract_y
_atom_site_fract_z
Cs1 Cs 0.000 0.217 0.000
Nb1 Nb 0.150 0.709 0.563
Nb2 Nb 0.231 0.429 0.344
Br1 Br 0.000 0.618 0.567
Br2 Br 0.124 0.126 0.483
Br3 Br 0.140 0.688 0.075
Br4 Br 0.209 0.207 0.965
```

Here is an optimized crystal structure of CsNbBr3 from Alexandria. Energies are from PBE.

Properties
- DOS at the Fermi energy: 1.12 states/eV/f.u.
- Electronic total energy: -4.17 eV/atom
- Relative energy among the computed polymorphs: 0 meV per atom

The structure in CIF format:
```
data_CsNbBr3
_chemical_formula_sum 'Cs2 Nb2 Br6'
_space_group_name_H-M_alt 'P -1'
_space_group_IT_number 2
_cell_length_a 5.396
_cell_length_b 7.905
_cell_length_c 9.207
_cell_angle_alpha 67.68
_cell_angle_beta 83.81
_cell_angle_gamma 80.73
loop_
_space_group_symop_operation_xyz
'x,y,z'
'-x,-y,-z'
loop_
_atom_site_label
_atom_site_type_symbol
_atom_site_fract_x
_atom_site_fract_y
_atom_site_fract_z
Cs1 Cs 0.245 0.328 0.326
Nb1 Nb 0.255 0.947 0.078
Br1 Br 0.172 0.897 0.820
Br2 Br 0.283 0.767 0.390
Br3 Br 0.331 0.295 0.918
```

Here is an optimized crystal structure of Cs6NbBr12 from Alexandria. Energies are from PBE.

Properties
- DOS at the Fermi energy: 31.29 states/eV/f.u.
- Electronic total energy: -3.19 eV/atom

The structure in CIF format:
```
data_Cs6NbBr12
_chemical_formula_sum 'Cs18 Nb3 Br36'
_space_group_name_H-M_alt 'R -3'
_space_group_IT_number 148
_space_group_name_Hall '-R 3'
_cell_length_a 13.8091
_cell_length_b 13.8091
_cell_length_c 18.9791
_cell_angle_alpha 90.00
_cell_angle_beta 90.00
_cell_angle_gamma 120.00
loop_
_atom_site_label
_atom_site_type_symbol
_atom_site_fract_x
_atom_site_fract_y
_atom_site_fract_z
Cs1 Cs 0.0171 0.7368 0.2435
Nb1 Nb 0.0000 0.0000 0.5000
Br1 Br 0.0150 0.7591 0.7464
Br2 Br 0.0604 0.1721 0.5772
```

Here is an optimized crystal structure of CsNbBr5 from Alexandria. Energies are from PBE.

Properties
- DOS at the Fermi energy: 3.13 states/eV/f.u.
- Electronic total energy: -3.85 eV/atom

The structure in CIF format:
```
data_CsNbBr5
_chemical_formula_sum 'Cs4 Nb4 Br20'
_space_group_name_H-M_alt 'C 1 2/c 1'
_space_group_IT_number 15
_cell_length_a 14.417
_cell_length_b 7.860
_cell_length_c 10.587
_cell_angle_alpha 90.00
_cell_angle_beta 111.49
_cell_angle_gamma 90.00
loop_
_space_group_symop_operation_xyz
'x,y,z'
'-x,-y,-z'
'-x,y,-z+1/2'
'x,-y,z+1/2'
'x+1/2,y+1/2,z'
'-x+1/2,-y+1/2,-z'
'-x+1/2,y+1/2,-z+1/2'
'x+1/2,-y+1/2,z+1/2'
loop_
_atom_site_label
_atom_site_type_symbol
_atom_site_fract_x
_atom_site_fract_y
_atom_site_fract_z
Cs1 Cs 0.000 0.000 0.250
Nb1 Nb 0.000 0.500 0.000
Br1 Br 0.000 0.499 0.250
Br2 Br 0.135 0.267 0.067
Br3 Br 0.136 0.270 0.568
```

| no. | E_form (uncorrected) (meV per atom) |
| --- | --- |
| 1 | -473 |
| 2 | -979 |
| 3 | -1331 |
| 4 | -1095 |